16
Lattice="3.355 0.000 0.000 -1.677 5.873 0.000 0.000 0.000 11.572" Properties=species:S:1:pos:R:3 comment="PBE CePu2TcN4, optimized geometry" formation_energy_uncorrected_mev_per_atom=-1002 n_ef_per_ev_fu=12.18 spacegroup="Cmcm, No. 63" pbc="T T T"
N 0.000 0.000 0.000
N 1.677 0.465 2.893
N 0.000 0.000 5.786
N 0.000 3.177 1.429
N 1.677 2.697 10.144
N 0.000 5.408 8.679
N 0.000 3.177 4.357
N 1.677 2.697 7.215
Tc 1.677 4.150 8.679
Tc 0.000 1.723 2.893
Pu 0.000 4.329 6.356
Pu 1.677 1.544 5.217
Pu 1.677 1.544 0.569
Pu 0.000 4.329 11.003
Ce 1.677 4.548 2.893
Ce 0.000 1.325 8.679